A plane-wave DFT calculation with GGA-PBE was carried out for an optimized crystal structure of Be3MoI.

Unit cell a=4.491 b=4.491 c=4.491 alpha=90.00 beta=90.00 gamma=90.00
Sites, in units of the cell vectors:
I1 0.000 0.000 0.000
Be1 0.000 0.500 0.000
Be2 0.000 0.000 0.500
Be3 0.500 0.000 0.000
Mo1 0.500 0.500 0.500

Values from the calculation:
- energy above the lowest structure with this stoichiometry (eV/atom) = 0.716
- crystal system = cubic
- formation energy from raw total energies (meV per atom) = 2214